No. 1
VASP calculation (PBE-GGA) on a relaxed Er2Ge3Pd crystal.

Computed properties:
N(E_F)   0.4374 states/eV per atom
Energy relative to the lowest polymorph listed for this composition   0.0 meV/atom
Total magnetic moment   0.00 μB/f.u.
DFT formation energy   -0.77 eV per atom

Cell lengths 5.7882, 5.7882, 8.3451 Å; angles 109.15, 109.15, 93.10 degrees
Fractional coordinates of all 12 atoms:
Er1 0.2500 0.7500 0.5000
Er2 0.7535 0.7535 0.0000
Er3 0.7500 0.2500 0.5000
Er4 0.2465 0.2465 0.0000
Ge1 0.3361 0.8310 0.1670
Ge2 0.1690 0.6639 0.8330
Ge3 0.6639 0.1690 0.8330
Ge4 0.8310 0.3361 0.1670
Ge5 0.1678 0.1678 0.3356
Ge6 0.8322 0.8322 0.6644
Pd1 0.6671 0.6671 0.3342
Pd2 0.3329 0.3329 0.6658

---

No. 2
VASP calculation (PBE-GGA) on a relaxed NaMgGa4 crystal.

Computed properties:
N(E_F)   0.1744 states/eV per atom
Total magnetic moment   0.00 μB/f.u.
DFT formation energy   -0.12 eV per atom

Cell lengths 5.5348, 5.5348, 5.5348 Å; angles 60.00, 60.00, 60.00 degrees
Fractional coordinates of all 6 atoms:
Na1 0.0000 0.0000 0.0000
Mg1 0.2500 0.2500 0.2500
Ga1 0.6249 0.6249 0.1253
Ga2 0.6249 0.1253 0.6249
Ga3 0.6249 0.6249 0.6249
Ga4 0.1253 0.6249 0.6249

---

No. 3
VASP calculation (PBE-GGA) on a relaxed RbMgSbI2 crystal.

Computed properties:
N(E_F)   1.0800 states/eV per atom
Energy relative to the lowest polymorph listed for this composition   898.7 meV/atom
Total magnetic moment   1.98 μB/f.u.
ΔE_f (raw)   325.4 meV per atom

Cell lengths 6.7847, 6.7847, 6.8853 Å; angles 90.00, 90.00, 90.00 degrees
Site moments in Bohr magnetons follow the coordinates.
Fractional coordinates of all 5 atoms:
I1 0.0000 0.5000 0.0000  0.00
I2 0.5000 0.0000 0.0000  0.00
Sb1 0.0000 0.0000 0.5000  0.98
Mg1 0.5000 0.5000 0.5000  -0.16
Rb1 0.0000 0.0000 0.0000  0.03